No. 1
Compound: La2BeP
Source: Alexandria via LeMat-Bulk
Functional: PBE
Structure: relaxed

Properties
N(E_F) in states/eV/cell: 10.35
Formation energy in eV per atom: -0.2041
Crystal system: orthorhombic

Cell: 3.890 6.146 8.487 Å, 90.00 90.00 90.00°
Space group Cmm2 (No. 35)
Inequivalent atoms, fractional coordinates:
La1 0.000 0.000 0.000 (multiplicity 2)
La2 0.000 0.500 0.384 (multiplicity 2)
Be1 0.000 0.000 0.644 (multiplicity 2)
P1 0.000 0.500 0.747 (multiplicity 2)

No. 2
Compound: NaCd3Ag
Source: Alexandria via LeMat-Bulk
Functional: PBE
Structure: relaxed

Properties
N(E_F) in states/eV/cell: 1.58
Formation energy in eV per atom: 0.6012
Crystal system: cubic

Cell: 5.541 5.541 5.541 Å, 90.00 90.00 90.00°
Space group Pm-3m (No. 221)
Inequivalent atoms, fractional coordinates:
Na1 0.000 0.000 0.000 (multiplicity 1)
Cd1 0.000 0.000 0.500 (multiplicity 3)
Ag1 0.500 0.500 0.500 (multiplicity 1)